CoNi3Ir | Alexandria via LeMat-Bulk | PBE-GGA | optimized geometry; distance to the lowest polymorph of the same formula = 0 meV/atom; formation enthalpy at 0 K = 77 kJ/mol of formula units; volume = 12.18 Å³ per atom
1.0
2.0595 -5.8209 0.0000
2.0595 5.8209 0.0000
0.0000 0.0000 5.0804
Co Ni Ir
2 6 2
Direct
0.1904 0.8096 0.7500
0.8096 0.1904 0.2500
0.1895 0.8105 0.2500
0.3746 0.6254 0.5009
0.3746 0.6254 0.9991
0.6254 0.3746 0.0009
0.6254 0.3746 0.4991
0.8105 0.1895 0.7500
0.0000 0.0000 0.0000
0.0000 0.0000 0.5000


CoNi5Ir6 | Alexandria via LeMat-Bulk | PBE-GGA | optimized geometry; formation enthalpy at 0 K = 57 kJ/mol of formula units; volume = 12.78 Å³ per atom
1.0
-1.8891 3.5815 5.6652
1.8891 -3.5815 5.6652
1.8891 3.5815 -5.6652
Co Ni Ir
1 5 6
Direct
0.0000 0.0000 0.0000
0.1643 0.6643 0.5000
0.3335 0.3335 0.0000
0.5000 0.0000 0.5000
0.6665 0.6665 0.0000
0.8357 0.3357 0.5000
0.0833 0.8335 0.2498
0.2496 0.5000 0.7496
0.4162 0.1665 0.2498
0.5838 0.8335 0.7502
0.7504 0.5000 0.2504
0.9167 0.1665 0.7502


Co2NiIr | Alexandria via LeMat-Bulk | PBE-GGA | optimized geometry; formation enthalpy at 0 K = 66 kJ/mol of formula units; volume = 12.23 Å³ per atom
1.0
0.0000 2.9029 2.9029
2.9029 0.0000 2.9029
2.9029 2.9029 0.0000
Co Ni Ir
2 1 1
Direct
0.0000 0.0000 0.0000
0.2500 0.2500 0.2500
0.7500 0.7500 0.7500
0.5000 0.5000 0.5000


Co2NiIr | Alexandria via LeMat-Bulk | PBE-GGA | optimized geometry; formation enthalpy at 0 K = 15 kJ/mol of formula units; volume = 11.96 Å³ per atom
1.0
3.6310 0.0000 0.0000
0.0000 3.6310 0.0000
0.0000 0.0000 3.6285
Co Ni Ir
2 1 1
Direct
0.0000 0.5000 0.0000
0.5000 0.0000 0.0000
0.0000 0.0000 0.5000
0.5000 0.5000 0.5000


CoNiIr | Alexandria via LeMat-Bulk | PBE-GGA | optimized geometry; distance to the lowest polymorph of the same formula = 0 meV/atom; formation enthalpy at 0 K = 10 kJ/mol of formula units; volume = 12.22 Å³ per atom
1.0
-1.3123 1.8024 3.8746
1.3123 -1.8024 3.8746
1.3123 1.8024 -3.8746
Co Ni Ir
1 1 1
Direct
0.0000 0.0000 0.0000
0.3341 0.3341 0.0000
0.6647 0.6647 0.0000


Co2Ni3Ir | Alexandria via LeMat-Bulk | PBE-GGA | optimized geometry; distance to the lowest polymorph of the same formula = 4 meV/atom; formation enthalpy at 0 K = 17 kJ/mol of formula units; volume = 11.65 Å³ per atom
1.0
1.7864 -5.3223 0.0000
1.7864 5.3223 0.0000
0.0000 0.0000 3.6763
Co Ni Ir
2 3 1
Direct
0.1706 0.8294 0.0000
0.8294 0.1706 0.0000
0.0000 0.0000 0.5000
0.3299 0.6701 0.5000
0.6701 0.3299 0.5000
0.5000 0.5000 0.0000


Co2NiIr5 | Alexandria via LeMat-Bulk | PBE-GGA | optimized geometry; formation enthalpy at 0 K = 111 kJ/mol of formula units; volume = 13.77 Å³ per atom
1.0
-1.3442 4.1468 4.9414
1.3442 -4.1468 4.9414
1.3442 4.1468 -4.9414
Co Ni Ir
2 1 5
Direct
0.2385 0.2385 0.0000
0.7615 0.7615 0.0000
0.0000 0.5000 0.5000
0.1349 0.8663 0.2686
0.4024 0.1337 0.2686
0.5000 0.5000 0.0000
0.5976 0.8663 0.7314
0.8651 0.1337 0.7314


Co3Ni2Ir2 | Alexandria via LeMat-Bulk | PBE-GGA | optimized geometry; distance to the lowest polymorph of the same formula = 0 meV/atom; formation enthalpy at 0 K = 20 kJ/mol of formula units; volume = 12.01 Å³ per atom
1.0
4.0631 -1.8094 0.0000
4.0631 1.8094 0.0000
-0.7898 0.0000 5.7199
Co Ni Ir
3 2 2
Direct
0.0000 0.0000 0.0000
0.2839 0.2839 0.8622
0.7161 0.7161 0.1378
0.1454 0.1454 0.4261
0.8546 0.8546 0.5739
0.4294 0.4294 0.2808
0.5706 0.5706 0.7192


CoNi6Ir | Alexandria via LeMat-Bulk | PBE-GGA | optimized geometry; distance to the lowest polymorph of the same formula = 81 meV/atom; formation enthalpy at 0 K = 89 kJ/mol of formula units; volume = 11.65 Å³ per atom
1.0
4.7145 -4.1026 0.0000
4.7145 4.1026 0.0000
-0.6476 0.0000 2.4098
Co Ni Ir
1 6 1
Direct
0.0000 0.0000 0.0000
0.1201 0.6180 0.8678
0.2297 0.2297 0.7272
0.3820 0.8799 0.1322
0.6180 0.1201 0.8678
0.7703 0.7703 0.2728
0.8799 0.3820 0.1322
0.5000 0.5000 0.5000


Co5Ni4Ir | Alexandria via LeMat-Bulk | PBE-GGA | optimized geometry; formation enthalpy at 0 K = 0 kJ/mol of formula units; volume = 11.35 Å³ per atom
1.0
4.3859 0.0000 0.0000
-2.1739 4.2901 0.0000
-0.0051 -2.4014 6.0335
Co Ni Ir
5 4 1
Direct
0.0000 0.0000 0.0000
0.0621 0.7987 0.2991
0.2676 0.2009 0.7080
0.5972 0.1960 0.1994
0.6622 0.0080 0.5058
0.4044 0.8087 0.8101
0.4705 0.6032 0.1008
0.8020 0.6103 0.6075
0.8648 0.4007 0.9020
0.2008 0.4026 0.4044


Co3Ni4Ir2 | Alexandria via LeMat-Bulk | PBE-GGA | optimized geometry; formation enthalpy at 0 K = 22 kJ/mol of formula units; volume = 11.86 Å³ per atom
1.0
4.0692 -1.8054 0.0000
4.0692 1.8054 0.0000
-2.5572 0.0000 7.2669
Co Ni Ir
3 4 2
Direct
0.0000 0.0000 0.0000
0.3362 0.3362 0.4488
0.6638 0.6638 0.5512
0.0010 0.0010 0.6666
0.3324 0.3324 0.1109
0.6676 0.6676 0.8891
0.9990 0.9990 0.3334
0.3325 0.3325 0.7745
0.6675 0.6675 0.2255


CoNi2Ir | Alexandria via LeMat-Bulk | PBE-GGA | optimized geometry; distance to the lowest polymorph of the same formula = 35 meV/atom; formation enthalpy at 0 K = 23 kJ/mol of formula units; volume = 12.04 Å³ per atom
1.0
2.5829 0.0000 0.0000
0.0000 3.6460 0.0000
0.0000 0.0000 5.1127
Co Ni Ir
1 2 1
Direct
0.0000 0.0000 0.0000
0.5000 0.5000 0.2424
0.5000 0.5000 0.7576
0.0000 0.0000 0.5000


CoNi2Ir | Alexandria via LeMat-Bulk | PBE-GGA | optimized geometry; distance to the lowest polymorph of the same formula = 23 meV/atom; formation enthalpy at 0 K = 18 kJ/mol of formula units; volume = 12.00 Å³ per atom
1.0
3.6021 0.0000 0.0000
0.0000 3.6021 0.0000
0.0000 0.0000 3.6994
Co Ni Ir
1 2 1
Direct
0.0000 0.0000 0.0000
0.0000 0.5000 0.5000
0.5000 0.0000 0.5000
0.5000 0.5000 0.0000


Co2Ni3Ir4 | Alexandria via LeMat-Bulk | PBE-GGA | optimized geometry; formation enthalpy at 0 K = 91 kJ/mol of formula units; volume = 12.86 Å³ per atom
1.0
6.3975 -1.3306 0.0000
6.3975 1.3306 0.0000
-1.7371 0.0000 6.8007
Co Ni Ir
2 3 4
Direct
0.1596 0.1596 0.1993
0.8404 0.8404 0.8007
0.3258 0.3258 0.0925
0.5000 0.5000 0.0000
0.6742 0.6742 0.9075
0.0190 0.0190 0.6930
0.3381 0.3381 0.4773
0.6619 0.6619 0.5227
0.9810 0.9810 0.3070


CoNi8Ir6 | Alexandria via LeMat-Bulk | PBE-GGA | optimized geometry; formation enthalpy at 0 K = 382 kJ/mol of formula units; volume = 13.27 Å³ per atom
1.0
3.4771 2.0075 4.7516
-3.4771 2.0075 4.7516
0.0000 -4.0150 4.7516
Co Ni Ir
1 8 6
Direct
0.0000 0.0000 0.0000
0.1485 0.4625 0.8173
0.1827 0.8515 0.5375
0.2118 0.2118 0.2118
0.4625 0.8173 0.1485
0.5375 0.1827 0.8515
0.7882 0.7882 0.7882
0.8173 0.1485 0.4625
0.8515 0.5375 0.1827
0.1532 0.6019 0.3188
0.3188 0.1532 0.6019
0.3981 0.6812 0.8468
0.6019 0.3188 0.1532
0.6812 0.8468 0.3981
0.8468 0.3981 0.6812


Co7Ni2Ir | Alexandria via LeMat-Bulk | PBE-GGA | optimized geometry; formation enthalpy at 0 K = 28 kJ/mol of formula units; volume = 11.39 Å³ per atom
1.0
2.5440 0.0000 0.0000
-1.2547 6.5679 0.0000
-0.0016 -1.8910 6.8140
Co Ni Ir
7 2 1
Direct
0.0000 0.0000 0.0000
0.2031 0.4055 0.6004
0.3978 0.7943 0.7063
0.3986 0.7961 0.1915
0.6014 0.2039 0.8085
0.6022 0.2057 0.2937
0.7969 0.5945 0.3996
0.2001 0.4021 0.1010
0.7999 0.5979 0.8990
0.0000 0.0000 0.5000


Co7NiIr2 | Alexandria via LeMat-Bulk | PBE-GGA | optimized geometry; formation enthalpy at 0 K = 326 kJ/mol of formula units; volume = 13.15 Å³ per atom
1.0
4.4373 -4.0695 0.0000
4.4373 4.0695 0.0000
-1.8472 0.0000 3.6404
Co Ni Ir
7 1 2
Direct
0.0000 0.0000 0.0000
0.0903 0.4168 0.2537
0.1498 0.8502 0.5000
0.4168 0.0903 0.2537
0.5832 0.9097 0.7463
0.8502 0.1498 0.5000
0.9097 0.5832 0.7463
0.5000 0.5000 0.5000
0.3371 0.6629 0.0000
0.6629 0.3371 0.0000


CoNi2Ir4 | Alexandria via LeMat-Bulk | PBE-GGA | optimized geometry; formation enthalpy at 0 K = 76 kJ/mol of formula units; volume = 13.44 Å³ per atom
1.0
1.3459 -13.0229 0.0000
1.3459 13.0229 0.0000
0.0000 0.0000 2.6847
Co Ni Ir
1 2 4
Direct
0.0000 0.0000 0.0000
0.2891 0.7109 0.5000
0.7109 0.2891 0.5000
0.1432 0.8568 0.0000
0.4306 0.5694 0.5000
0.5694 0.4306 0.5000
0.8568 0.1432 0.0000


Co2Ni5Ir2 | Alexandria via LeMat-Bulk | PBE-GGA | optimized geometry; formation enthalpy at 0 K = 18 kJ/mol of formula units; volume = 11.84 Å³ per atom
1.0
4.4263 0.0000 0.0000
0.7750 4.3979 0.0000
1.4674 0.4702 5.4726
Co Ni Ir
2 5 2
Direct
0.1626 0.3351 0.3306
0.8374 0.6649 0.6694
0.0533 0.1101 0.7839
0.2755 0.5512 0.8968
0.5000 0.0000 0.0000
0.7245 0.4488 0.1032
0.9467 0.8899 0.2161
0.3842 0.7779 0.4427
0.6158 0.2221 0.5573


CoNiIr3 | Alexandria via LeMat-Bulk | PBE-GGA | optimized geometry; distance to the lowest polymorph of the same formula = 328 meV/atom; formation enthalpy at 0 K = 237 kJ/mol of formula units; volume = 14.48 Å³ per atom
1.0
4.7549 0.0000 0.0000
0.0000 9.8671 0.0000
0.0000 0.0000 6.1734
Co Ni Ir
4 4 12
Direct
0.0103 0.2500 0.0996
0.4897 0.7500 0.5996
0.5103 0.2500 0.4004
0.9897 0.7500 0.9004
0.0000 0.0000 0.0000
0.0000 0.5000 0.0000
0.5000 0.0000 0.5000
0.5000 0.5000 0.5000
0.0072 0.6145 0.5749
0.0072 0.8855 0.5749
0.2456 0.7500 0.2435
0.2544 0.2500 0.7435
0.4928 0.1145 0.0749
0.4928 0.3855 0.0749
0.5072 0.6145 0.9251
0.5072 0.8855 0.9251
0.7456 0.7500 0.2565
0.7544 0.2500 0.7565
0.9928 0.1145 0.4251
0.9928 0.3855 0.4251